{
  "formula": "SiBAuC",
  "functional": "PBE",
  "state": "optimized geometry",
  "magmom_total_mub_per_cell": 0.00,
  "de_polymorph_mev_per_atom": 190,
  "e_form_raw_ev_per_atom": 0.402,
  "space_group": "Pm",
  "final_energy_ev_per_cell": -23.0,
  "lattice": [[3.9027, 0.0000, 0.0000], [0.0000, 2.7078, 0.0000], [-1.9220, 0.0000, 5.1597]],
  "species": ["Si", "B", "Au", "C"],
  "frac_coords": [[0.0000, 0.0000, 0.0000], [0.5982, 0.0000, 0.1531], [0.7388, 0.5000, 0.5842], [0.3861, 0.5000, 0.1395]]
}

{
  "formula": "PaGa6Pt4",
  "functional": "PBE",
  "state": "optimized geometry",
  "e_form_ev_per_fu": -7.31,
  "magmom_total_mub_per_cell": 0.23,
  "space_group": "P-6m2",
  "final_energy_ev_per_cell": -59.1,
  "lattice": [[7.4373, 0.0000, 0.0000], [-3.7187, 6.4409, 0.0000], [0.0000, 0.0000, 3.9657]],
  "species": ["Pa", "Ga", "Ga", "Ga", "Ga", "Ga", "Ga", "Pt", "Pt", "Pt", "Pt"],
  "frac_coords": [[0.0000, 0.0000, 0.0000], [0.0660, 0.5330, 0.0000], [0.3958, 0.1979, 0.5000], [0.4670, 0.5330, 0.0000], [0.4670, 0.9340, 0.0000], [0.8021, 0.1979, 0.5000], [0.8021, 0.6042, 0.5000], [0.1962, 0.3923, 0.5000], [0.1962, 0.8038, 0.5000], [0.6077, 0.8038, 0.5000], [0.6667, 0.3333, 0.0000]]
}

{
  "formula": "Li2RuSe",
  "functional": "PBE",
  "state": "optimized geometry",
  "magmom_total_mub_per_cell": 0.00,
  "e_form_raw_ev_per_atom": -0.182,
  "space_group": "F-43m",
  "final_energy_ev_per_cell": -17.3,
  "lattice": [[0.0000, 2.9974, 2.9974], [2.9974, 0.0000, 2.9974], [2.9974, 2.9974, 0.0000]],
  "species": ["Li", "Li", "Ru", "Se"],
  "frac_coords": [[0.0000, 0.0000, 0.0000], [0.2500, 0.2500, 0.2500], [0.5000, 0.5000, 0.5000], [0.7500, 0.7500, 0.7500]]
}

{
  "formula": "PuU2Mn",
  "functional": "PBE",
  "state": "optimized geometry",
  "e_form_ev_per_fu": 0.15,
  "magmom_total_mub_per_cell": 0.00,
  "de_polymorph_mev_per_atom": 0,
  "space_group": "R-3m",
  "final_energy_ev_per_cell": -45.9,
  "lattice": [[2.1604, 1.2473, 4.2041], [-2.1604, 1.2473, 4.2041], [0.0000, -2.4947, 4.2041]],
  "species": ["Pu", "U", "U", "Mn"],
  "frac_coords": [[0.0000, 0.0000, 0.0000], [0.2618, 0.2618, 0.2618], [0.7382, 0.7382, 0.7382], [0.5000, 0.5000, 0.5000]]
}